A geometry-optimized Sm3O4 structure. Source: Alexandria via LeMat-Bulk, functional GGA-PBE.

It has space group Fd-3m (No. 227, origin choice 2), with a = 9.902 Å, b = 9.902 Å, c = 9.902 Å, α = 90.00°, β = 90.00° and γ = 90.00°. The distinct sites, in fractional coordinates, are Sm at (0.000, 0.000, 0.000), Sm at (0.125, 0.125, 0.625) and O at (0.007, 0.007, 0.243).

The theoretical density is 7.048 g/cm³. The uncorrected energy comes out at -7.97 eV/atom. The value obtained for the uncorrected formation energy is -300.5 kJ per mole of atoms.

A geometry-optimized NaBi2HO4 structure. Source: Alexandria via LeMat-Bulk, functional GGA-PBE.

It has space group Fmm2 (No. 42), with a = 6.845 Å, b = 9.246 Å, c = 7.836 Å, α = 90.00°, β = 90.00° and γ = 90.00°. The distinct sites, in fractional coordinates, are Na at (0.000, 0.000, 0.000), Bi at (0.250, 0.250, 0.251), H at (0.000, 0.000, 0.297), O at (0.000, 0.228, 0.923) and O at (0.182, 0.000, 0.278).

The theoretical density is 6.776 g/cm³. The uncorrected energy comes out at -5.16 eV/atom.

A geometry-optimized NdNpIrAu structure. Source: Alexandria via LeMat-Bulk, functional GGA-PBE.

It has space group F-43m (No. 216), with a = 7.146 Å, b = 7.146 Å, c = 7.146 Å, α = 90.00°, β = 90.00° and γ = 90.00°. The distinct sites, in fractional coordinates, are Nd at (0.000, 0.000, 0.000), Np at (0.000, 0.000, 0.500), Ir at (0.250, 0.250, 0.250) and Au at (0.250, 0.250, 0.750).

The theoretical density is 14.022 g/cm³. The formation energy from the elements is -0.31 eV per atom. The uncorrected energy comes out at -7.77 eV/atom.

A geometry-optimized K5Al2Bi5 structure. Source: Alexandria via LeMat-Bulk, functional GGA-PBE.

It has space group C2/m (No. 12), with a = 16.701 Å, b = 4.613 Å, c = 13.933 Å, α = 90.00°, β = 120.85° and γ = 90.00°. The distinct sites, in fractional coordinates, are K at (0.000, 0.000, 0.000), K at (0.085, 0.500, 0.760), K at (0.142, 0.500, 0.446), Al at (0.205, 0.000, 0.695), Bi at (0.000, 0.000, 0.500), Bi at (0.188, 0.000, 0.272) and Bi at (0.221, 0.500, 0.056).

The theoretical density is 4.664 g/cm³. The formation energy from the elements is -0.19 eV per atom. The uncorrected energy comes out at -2.89 eV/atom.